An optimized crystal structure of TlGa2Hg. Source: the Alexandria database, functional GGA-PBE.

It has space group Fm-3m (No. 225), with a = 7.2479 Å, b = 7.2479 Å, c = 7.2479 Å, α = 90.00°, β = 90.00° and γ = 90.00°. The inequivalent atoms are Tl at (0.0000, 0.0000, 0.0000), Ga at (0.2500, 0.2500, 0.2500) and Hg at (0.0000, 0.0000, 0.5000).

The calculation puts the distance to the lowest polymorph of the same formula at 0.090 eV per atom. As for the crystal system: cubic. Its density of states at the Fermi level is 10.6 states/eV per cell. The calculation puts the total energy at -2.076 eV per atom.

***

An optimized crystal structure of Pt2SeCl. Source: the Alexandria database, functional GGA-PBE.

It has space group Fm-3m (No. 225), with a = 6.4894 Å, b = 6.4894 Å, c = 6.4894 Å, α = 90.00°, β = 90.00° and γ = 90.00°. The inequivalent atoms are Pt at (0.2500, 0.2500, 0.2500), Se at (0.0000, 0.0000, 0.0000) and Cl at (0.0000, 0.0000, 0.5000).

The calculation puts the distance to the lowest polymorph of the same formula at 0.763 eV per atom. As for the crystal system: cubic. Its density of states at the Fermi level is 21.1 states/eV per cell. The calculation puts the total energy at -3.839 eV per atom. The formation energy (no corrections) is 515 meV per atom.

***

An optimized crystal structure of PaAl4Pt2. Source: the Alexandria database, functional GGA-PBE.

It has space group Pnma (No. 62), with a = 17.0186 Å, b = 4.3072 Å, c = 6.7047 Å, α = 90.00°, β = 90.00° and γ = 90.00°. The inequivalent atoms are Pa at (0.1353, 0.2500, 0.0156), Al at (0.0364, 0.7500, 0.8292), Al at (0.0703, 0.2500, 0.4922), Al at (0.1847, 0.7500, 0.3328), Al at (0.1930, 0.7500, 0.7306), Pt at (0.0383, 0.7500, 0.2384) and Pt at (0.2195, 0.2500, 0.5360).

The calculation puts the distance to the lowest polymorph of the same formula at 0.000 eV per atom. As for the crystal system: orthorhombic. Its density of states at the Fermi level is 15.5 states/eV per cell. The calculation puts the total energy at -6.091 eV per atom.

***

An optimized crystal structure of Li2Ho5Sn5. Source: the Alexandria database, functional GGA-PBE.

It has space group C2/m (No. 12), with a = 11.7081 Å, b = 4.6918 Å, c = 12.3407 Å, α = 90.00°, β = 114.28° and γ = 90.00°. The inequivalent atoms are Li at (0.2315, 0.0000, 0.2854), Ho at (0.0000, 0.5000, 0.0000), Ho at (0.1064, 0.0000, 0.7788), Ho at (0.1491, 0.0000, 0.4908), Sn at (0.0000, 0.5000, 0.5000), Sn at (0.1066, 0.5000, 0.2817) and Sn at (0.2106, 0.0000, 0.0598).

As for the crystal system: monoclinic. Its density of states at the Fermi level is 13.6 states/eV per cell. The calculation puts the total energy at -4.380 eV per atom.

***

An optimized crystal structure of CsTlCdHg2. Source: the Alexandria database, functional GGA-PBE.

It has space group P4/mmm (No. 123), with a = 6.0088 Å, b = 6.0088 Å, c = 5.8564 Å, α = 90.00°, β = 90.00° and γ = 90.00°. The inequivalent atoms are Cs at (0.0000, 0.0000, 0.0000), Tl at (0.5000, 0.5000, 0.5000), Cd at (0.5000, 0.5000, 0.0000) and Hg at (0.0000, 0.5000, 0.5000).

The calculation puts the distance to the lowest polymorph of the same formula at 0.124 eV per atom. As for the crystal system: tetragonal. Its density of states at the Fermi level is 3.6 states/eV per cell. The calculation puts the total energy at -0.959 eV per atom.

***

An optimized crystal structure of Tb2Nd2Y2Ho. Source: the Alexandria database, functional GGA-PBE.

It has space group C2/m (No. 12), with a = 11.8063 Å, b = 3.5303 Å, c = 11.8589 Å, α = 90.00°, β = 108.72° and γ = 90.00°. The inequivalent atoms are Tb at (0.2282, 0.0000, 0.3650), Nd at (0.1731, 0.5000, 0.0863), Y at (0.0487, 0.5000, 0.7706) and Ho at (0.0000, 0.0000, 0.5000).

As for the crystal system: monoclinic. Its density of states at the Fermi level is 23.5 states/eV per cell. The calculation puts the total energy at -5.102 eV per atom.

***

An optimized crystal structure of LiHO. Source: the Alexandria database, functional GGA-PBE.

It has space group C2/m (No. 12), with a = 13.2513 Å, b = 2.8660 Å, c = 2.9289 Å, α = 90.00°, β = 91.04° and γ = 90.00°. The inequivalent atoms are Li at (0.0972, 0.0000, 0.2569), H at (0.1897, 0.5000, 0.7636) and O at (0.1160, 0.5000, 0.7595).

The calculation puts the distance to the lowest polymorph of the same formula at 0.146 eV per atom. As for the crystal system: monoclinic. Its density of states at the Fermi level is 0.0 states/eV per cell. The calculation puts the total energy at -4.819 eV per atom.

***

An optimized crystal structure of KAc2CeTe4. Source: the Alexandria database, functional GGA-PBE.

It has space group P2/m (No. 10), with a = 8.1476 Å, b = 4.6899 Å, c = 8.2557 Å, α = 90.00°, β = 109.07° and γ = 90.00°. The inequivalent atoms are K at (0.0000, 0.0000, 0.0000), Ac at (0.5000, 0.0000, 0.5000), Ac at (0.5000, 0.5000, 0.0000), Ce at (0.0000, 0.5000, 0.5000), Te at (0.2426, 0.0000, 0.7412) and Te at (0.2507, 0.5000, 0.2586).

As for the crystal system: monoclinic. Its density of states at the Fermi level is 9.8 states/eV per cell. The calculation puts the total energy at -4.892 eV per atom. The formation energy (no corrections) is -1415 meV per atom.

***

An optimized crystal structure of Rb3CaNi2Cl9. Source: the Alexandria database, functional GGA-PBE.

It has space group P-3m1 (No. 164), with a = 7.1491 Å, b = 7.1491 Å, c = 8.8086 Å, α = 90.00°, β = 90.00° and γ = 120.00°. The inequivalent atoms are Rb at (0.0000, 0.0000, 0.0000), Rb at (0.3333, 0.6667, 0.6840), Ca at (0.0000, 0.0000, 0.5000), Ni at (0.3333, 0.6667, 0.1618), Cl at (0.0000, 0.5000, 0.0000) and Cl at (0.1761, 0.3521, 0.3185).

As for the crystal system: trigonal. The calculation puts the total energy at -3.654 eV per atom. The formation energy (no corrections) is -1449 meV per atom.

***

An optimized crystal structure of UCo5P6. Source: the Alexandria database, functional GGA-PBE.

It has space group C2/m (No. 12), with a = 5.2336 Å, b = 9.9433 Å, c = 6.3498 Å, α = 90.00°, β = 111.50° and γ = 90.00°. The inequivalent atoms are U at (0.0000, 0.0000, 0.0000), Co at (0.0000, 0.1291, 0.5000), Co at (0.0000, 0.3110, 0.0000), Co at (0.0000, 0.5000, 0.5000), P at (0.1579, 0.5000, 0.2214) and P at (0.2269, 0.3062, 0.6979).

As for the crystal system: monoclinic. Its density of states at the Fermi level is 21.8 states/eV per cell. The calculation puts the total energy at -7.004 eV per atom.

***

An optimized crystal structure of UPb2Se4. Source: the Alexandria database, functional GGA-PBE.

It has space group Pbam (No. 55), with a = 7.6694 Å, b = 13.4969 Å, c = 4.2321 Å, α = 90.00°, β = 90.00° and γ = 90.00°. The inequivalent atoms are U at (0.0000, 0.0000, 0.0000), Pb at (0.1315, 0.3355, 0.5000), Se at (0.1114, 0.7999, 0.0000) and Se at (0.2406, 0.0406, 0.5000).

The calculation puts the distance to the lowest polymorph of the same formula at 0.000 eV per atom. As for the crystal system: orthorhombic. Its density of states at the Fermi level is 10.5 states/eV per cell. The calculation puts the total energy at -5.454 eV per atom. The formation energy (no corrections) is -791 meV per atom.

***

An optimized crystal structure of ZrNb2IrN. Source: the Alexandria database, functional GGA-PBE.

It has space group P4/mmm (No. 123), with a = 4.2028 Å, b = 4.2028 Å, c = 4.4873 Å, α = 90.00°, β = 90.00° and γ = 90.00°. The inequivalent atoms are Zr at (0.0000, 0.0000, 0.0000), Nb at (0.0000, 0.5000, 0.5000), Ir at (0.5000, 0.5000, 0.0000) and N at (0.0000, 0.0000, 0.5000).

The calculation puts the distance to the lowest polymorph of the same formula at 0.000 eV per atom. As for the crystal system: tetragonal. Its density of states at the Fermi level is 3.6 states/eV per cell. The calculation puts the total energy at -9.893 eV per atom. The formation energy (no corrections) is -718 meV per atom.